The following is a meta-GGA SCAN calculation of a PBEsol-optimized structure of TaReNi2, from Alexandria.

CIF file:
```
data_TaReNi2
_chemical_formula_sum 'Ta1 Re1 Ni2'
_symmetry_space_group_name_H-M 'P 4 m m'
_symmetry_Int_Tables_number 99
_symmetry_space_group_name_Hall 'P 4 -2'
_cell_length_a 3.125
_cell_length_b 3.125
_cell_length_c 5.430
_cell_angle_alpha 90.00
_cell_angle_beta 90.00
_cell_angle_gamma 90.00
loop_
_atom_site_label
_atom_site_fract_x
_atom_site_fract_y
_atom_site_fract_z
Ta1 0.000 0.000 0.000
Re1 0.500 0.500 0.706
Ni1 0.000 0.000 0.477
Ni2 0.500 0.500 0.247
```

The value obtained for the energy relative to the lowest polymorph listed for this composition is 0 meV/atom. The formation energy from the elements is -116 meV/atom.

The following is a meta-GGA SCAN calculation of a PBEsol-optimized structure of Ta2ReNi, from Alexandria.

CIF file:
```
data_Ta2ReNi
_chemical_formula_sum 'Ta4 Re2 Ni2'
_symmetry_space_group_name_H-M 'C m m 2'
_symmetry_Int_Tables_number 35
_symmetry_space_group_name_Hall 'C 2 -2'
_cell_length_a 3.326
_cell_length_b 4.283
_cell_length_c 8.436
_cell_angle_alpha 90.00
_cell_angle_beta 90.00
_cell_angle_gamma 90.00
loop_
_atom_site_label
_atom_site_fract_x
_atom_site_fract_y
_atom_site_fract_z
Ta1 0.000 0.000 0.000
Ta2 0.000 0.500 0.281
Re1 0.000 0.000 0.544
Ni1 0.000 0.500 0.763
```

The formation energy from the elements is -45 meV/atom.

The following is a meta-GGA SCAN calculation of a PBEsol-optimized structure of Ta2ReNi, from Alexandria.

CIF file:
```
data_Ta2ReNi
_chemical_formula_sum 'Ta2 Re1 Ni1'
_symmetry_space_group_name_H-M 'P 1 m 1'
_symmetry_Int_Tables_number 6
_symmetry_space_group_name_Hall 'P -2y'
_cell_length_a 2.752
_cell_length_b 4.532
_cell_length_c 4.928
_cell_angle_alpha 90.00
_cell_angle_beta 96.71
_cell_angle_gamma 90.00
loop_
_atom_site_label
_atom_site_fract_x
_atom_site_fract_y
_atom_site_fract_z
Ta1 0.000 0.000 0.000
Ta2 0.244 0.500 0.680
Re1 0.580 0.000 0.495
Ni1 0.619 0.500 0.177
```

The formation energy from the elements is -88 meV/atom.

The following is a meta-GGA SCAN calculation of a PBEsol-optimized structure of Ta2ReNi, from Alexandria.

CIF file:
```
data_Ta2ReNi
_chemical_formula_sum 'Ta2 Re1 Ni1'
_symmetry_space_group_name_H-M 'P 4/m m m'
_symmetry_Int_Tables_number 123
_symmetry_space_group_name_Hall '-P 4 2'
_cell_length_a 2.729
_cell_length_b 2.729
_cell_length_c 8.078
_cell_angle_alpha 90.00
_cell_angle_beta 90.00
_cell_angle_gamma 90.00
loop_
_atom_site_label
_atom_site_fract_x
_atom_site_fract_y
_atom_site_fract_z
Ta1 0.000 0.000 0.230
Re1 0.500 0.500 0.500
Ni1 0.500 0.500 0.000
```

The formation energy from the elements is -30 meV/atom.

The following is a meta-GGA SCAN calculation of a PBEsol-optimized structure of Ta2ReNi, from Alexandria.

CIF file:
```
data_Ta2ReNi
_chemical_formula_sum 'Ta8 Re4 Ni4'
_symmetry_space_group_name_H-M 'F -4 3 m'
_symmetry_Int_Tables_number 216
_symmetry_space_group_name_Hall 'F -4 2 3'
_cell_length_a 6.216
_cell_length_b 6.216
_cell_length_c 6.216
_cell_angle_alpha 90.00
_cell_angle_beta 90.00
_cell_angle_gamma 90.00
loop_
_atom_site_label
_atom_site_fract_x
_atom_site_fract_y
_atom_site_fract_z
Ta1 0.000 0.000 0.000
Ta2 0.250 0.250 0.250
Re1 0.000 0.000 0.500
Ni1 0.250 0.250 0.750
```

The formation energy from the elements is 26 meV/atom.

The following is a meta-GGA SCAN calculation of a PBEsol-optimized structure of Ta2ReNi, from Alexandria.

CIF file:
```
data_Ta2ReNi
_chemical_formula_sum 'Ta2 Re1 Ni1'
_symmetry_space_group_name_H-M 'P 4 m m'
_symmetry_Int_Tables_number 99
_symmetry_space_group_name_Hall 'P 4 -2'
_cell_length_a 3.213
_cell_length_b 3.213
_cell_length_c 5.842
_cell_angle_alpha 90.00
_cell_angle_beta 90.00
_cell_angle_gamma 90.00
loop_
_atom_site_label
_atom_site_fract_x
_atom_site_fract_y
_atom_site_fract_z
Ta1 0.000 0.000 0.000
Ta2 0.500 0.500 0.294
Re1 0.500 0.500 0.760
Ni1 0.000 0.000 0.508
```

The formation energy from the elements is -95 meV/atom.

Number 1: density of states at the Fermi level 0.742 states/eV per atom. Number 2: density of states at the Fermi level 0.614 states/eV per atom. Number 3: density of states at the Fermi level 0.797 states/eV per atom. Number 4: density of states at the Fermi level 0.789 states/eV per atom. Number 5: density of states at the Fermi level 1.347 states/eV per atom. Number 6: density of states at the Fermi level 0.920 states/eV per atom.